Crystalline Y3HgN at its relaxed geometry. Source: Alexandria, functional GGA-PBE.

Summary:
DOS(E_F) in states/eV per cell: 9.27
Formation energy (no corrections) in eV per formula unit: -1.59
Space group: P6_3/mmc

Lattice parameters (Å, degrees): 5.1231 5.1231 9.6571 90.00 90.00 120.00
Fractional coordinates of all 10 atoms:
Y (0.0000, 0.0000, 0.2500)
Y (0.0000, 0.0000, 0.7500)
Y (0.3333, 0.6667, 0.0662)
Y (0.3333, 0.6667, 0.4338)
Y (0.6667, 0.3333, 0.5662)
Y (0.6667, 0.3333, 0.9338)
Hg (0.3333, 0.6667, 0.7500)
Hg (0.6667, 0.3333, 0.2500)
N (0.0000, 0.0000, 0.0000)
N (0.0000, 0.0000, 0.5000)

Crystalline Tm6Bi2B at its relaxed geometry. Source: Alexandria, functional GGA-PBE.

Summary:
DOS(E_F) in states/eV per cell: 22.28
Space group: P4_2/mnm
Uncorrected energy in eV per atom: -4.71

Lattice parameters (Å, degrees): 6.5992 6.5992 13.2543 90.00 90.00 90.00
Fractional coordinates of all 18 atoms:
Tm (0.1882, 0.1882, 0.1287)
Tm (0.1882, 0.1882, 0.8713)
Tm (0.2246, 0.2246, 0.5000)
Tm (0.2754, 0.7246, 0.0000)
Tm (0.3118, 0.6882, 0.3713)
Tm (0.3118, 0.6882, 0.6287)
Tm (0.6882, 0.3118, 0.3713)
Tm (0.6882, 0.3118, 0.6287)
Tm (0.7246, 0.2754, 0.0000)
Tm (0.7754, 0.7754, 0.5000)
Tm (0.8118, 0.8118, 0.1287)
Tm (0.8118, 0.8118, 0.8713)
Bi (0.0000, 0.0000, 0.3201)
Bi (0.0000, 0.0000, 0.6799)
Bi (0.5000, 0.5000, 0.1799)
Bi (0.5000, 0.5000, 0.8201)
B (0.0000, 0.0000, 0.0000)
B (0.5000, 0.5000, 0.5000)

Crystalline Hg2Ge2S at its relaxed geometry. Source: Alexandria, functional GGA-PBE.

Summary:
DOS(E_F) in states/eV per cell: 5.20
Formation energy (no corrections) in eV per formula unit: 1.97
Space group: P4/mbm
Energy relative to the lowest polymorph listed for this composition in kJ/mol of atoms: 19.3

Lattice parameters (Å, degrees): 7.6176 7.6176 3.9481 90.00 90.00 90.00
Fractional coordinates of all 10 atoms:
Hg (0.1775, 0.3225, 0.0000)
Hg (0.3225, 0.8225, 0.0000)
Hg (0.6775, 0.1775, 0.0000)
Hg (0.8225, 0.6775, 0.0000)
Ge (0.1189, 0.6189, 0.5000)
Ge (0.3811, 0.1189, 0.5000)
Ge (0.6189, 0.8811, 0.5000)
Ge (0.8811, 0.3811, 0.5000)
S (0.0000, 0.0000, 0.0000)
S (0.5000, 0.5000, 0.0000)

Crystalline AlMoAs2Br at its relaxed geometry. Source: Alexandria, functional GGA-PBE.

Summary:
DOS(E_F) in states/eV per cell: 2.71
Formation energy (no corrections) in eV per formula unit: 4.33
Space group: P4/mmm
Energy relative to the lowest polymorph listed for this composition in kJ/mol of atoms: 45.8

Lattice parameters (Å, degrees): 4.8526 4.8526 4.9773 90.00 90.00 90.00
Fractional coordinates of all 5 atoms:
Al (0.0000, 0.0000, 0.0000)
Mo (0.5000, 0.5000, 0.5000)
As (0.0000, 0.5000, 0.0000)
As (0.5000, 0.0000, 0.0000)
Br (0.0000, 0.0000, 0.5000)

Crystalline ZnTc2Cl at its relaxed geometry. Source: Alexandria, functional GGA-PBE.

Summary:
DOS(E_F) in states/eV per cell: 3.85
Formation energy (no corrections) in eV per formula unit: 2.27
Space group: Immm
Energy relative to the lowest polymorph listed for this composition in kJ/mol of atoms: 58.9

Lattice parameters (Å, degrees): 5.2702 5.2702 5.2702 149.12 125.27 64.17
Fractional coordinates of all 4 atoms:
Zn (0.0000, 0.0000, 0.0000)
Tc (0.2720, 0.7720, 0.5000)
Tc (0.7280, 0.2280, 0.5000)
Cl (0.5000, 0.5000, 0.0000)

Crystalline MnTlSi at its relaxed geometry. Source: Alexandria, functional GGA-PBE.

Summary:
DOS(E_F) in states/eV per cell: 2.15
Formation energy (no corrections) in eV per formula unit: 1.39
Space group: P3m1
Energy relative to the lowest polymorph listed for this composition in kJ/mol of atoms: 9.1

Lattice parameters (Å, degrees): 3.1180 3.1180 6.5206 90.00 90.00 120.00
Fractional coordinates of all 3 atoms:
Mn (0.0000, 0.0000, 0.0000)
Tl (0.3333, 0.6667, 0.6432)
Si (0.6667, 0.3333, 0.2555)